Below is a geometry-optimized KLaMn2 structure, with properties calculated at the GGA-PBEsol level.

a = 3.785 Å, b = 3.785 Å, c = 7.969 Å
α = 90.00°, β = 90.00°, γ = 90.00°
Sites, in units of the cell vectors:
K (0.000, 0.000, 0.000)
La (0.000, 0.000, 0.500)
Mn (0.500, 0.500, 0.328)
Mn (0.500, 0.500, 0.672)

Summary:
Raw total energy, eV/atom: -5.663
Theoretical density, Mg/m³: 4.19

=====

Below is a geometry-optimized HgSbSe2 structure, with properties calculated at the GGA-PBEsol level.

a = 4.128 Å, b = 4.128 Å, c = 7.042 Å
α = 103.87°, β = 103.87°, γ = 60.10°
Sites, in units of the cell vectors:
Hg (0.000, 0.000, 0.000)
Sb (0.500, 0.500, 0.500)
Se (0.232, 0.232, 0.740)
Se (0.768, 0.768, 0.260)

Summary:
ΔE_f (raw), eV per atom: -0.1662
ΔE to the lowest computed polymorph, eV per atom: 0.000
Raw total energy, eV/atom: -3.372
Theoretical density, Mg/m³: 7.98

=====

Below is a geometry-optimized ZnCo2W structure, with properties calculated at the GGA-PBEsol level.

a = 2.694 Å, b = 2.694 Å, c = 6.624 Å
α = 90.00°, β = 90.00°, γ = 90.00°
Sites, in units of the cell vectors:
Zn (0.000, 0.000, 0.000)
Co (0.500, 0.500, 0.242)
Co (0.500, 0.500, 0.758)
W (0.000, 0.000, 0.500)

Summary:
Raw total energy, eV/atom: -7.764
Theoretical density, Mg/m³: 12.68

=====

Below is a geometry-optimized Pr5Bi3 structure, with properties calculated at the GGA-PBEsol level.

a = 9.464 Å, b = 9.464 Å, c = 6.523 Å
α = 90.00°, β = 90.00°, γ = 120.00°
Sites, in units of the cell vectors:
Pr (0.000, 0.248, 0.250)
Pr (0.000, 0.752, 0.750)
Pr (0.248, 0.000, 0.250)
Pr (0.248, 0.248, 0.750)
Pr (0.333, 0.667, 0.000)
Pr (0.333, 0.667, 0.500)
Pr (0.667, 0.333, 0.000)
Pr (0.667, 0.333, 0.500)
Pr (0.752, 0.000, 0.750)
Pr (0.752, 0.752, 0.250)
Bi (0.000, 0.387, 0.750)
Bi (0.000, 0.613, 0.250)
Bi (0.387, 0.000, 0.750)
Bi (0.387, 0.387, 0.250)
Bi (0.613, 0.000, 0.250)
Bi (0.613, 0.613, 0.750)

Summary:
Raw total energy, eV/atom: -5.679
Theoretical density, Mg/m³: 8.74

=====

| no. | N(E_F) (states/eV per atom) | M_tot (μB/atom) |
| --- | --- | --- |
| 1 | 1.2551 | 1.757 |
| 2 | 0.4053 | 0.000 |
| 3 | 0.6574 | 0.000 |
| 4 | 0.9574 | 0.000 |